Entry from the Alexandria database: a geometry-optimized LiEr2Tl6 structure (PBE-GGA).

Unit cell a=3.5596 b=8.3388 c=9.3169 alpha=116.58 beta=90.00 gamma=90.00
Element x y z (fractional)
Tl  0.0001  0.6576  0.6860
Tl  0.9999  0.9716  0.3140
Tl  0.9999  0.3424  0.3140
Tl  0.5000  0.3118  0.0000
Tl  0.0001  0.0284  0.6860
Tl  0.5000  0.6882  0.0000
Li  0.0000  0.0000  0.0000
Er  0.5000  0.6947  0.3894
Er  0.5000  0.3053  0.6106

Electronic total energy, eV/cell: -26.00
DFT formation energy, eV/atom: -0.08
Size of the total moment, μB/f.u.: 0.00
Symmetry: No. 65


Entry from the Alexandria database: a geometry-optimized Pr3Rh2Br structure (PBE-GGA).

Unit cell a=4.2317 b=8.4376 c=9.7888 alpha=90.00 beta=90.00 gamma=104.52
Element x y z (fractional)
Rh  0.4855  0.9710  0.2500
Rh  0.0000  0.0000  0.0000
Rh  0.5145  0.0290  0.7500
Rh  0.0000  0.0000  0.5000
Br  0.7773  0.5545  0.7500
Br  0.2227  0.4455  0.2500
Pr  0.6118  0.2236  0.0562
Pr  0.3882  0.7764  0.9438
Pr  0.3882  0.7764  0.5562
Pr  0.1208  0.2417  0.7500
Pr  0.8792  0.7583  0.2500
Pr  0.6118  0.2236  0.4438

Electronic total energy, eV/cell: -69.32
Size of the total moment, μB/f.u.: 0.00
Symmetry: No. 63
Formation energy without anion corrections, eV/atom: -0.658


Entry from the Alexandria database: a geometry-optimized Si2AsP structure (PBE-GGA).

Unit cell a=4.4567 b=4.4567 c=4.4567 alpha=60.00 beta=60.00 gamma=60.00
Element x y z (fractional)
Si  0.7500  0.7500  0.7500
Si  0.0000  0.0000  0.0000
P  0.2500  0.2500  0.2500
As  0.5000  0.5000  0.5000

Electronic total energy, eV/cell: -18.49
Energy relative to the lowest polymorph listed for this composition, meV per atom: 528.7
Size of the total moment, μB/f.u.: 0.00
Symmetry: No. 216
Formation energy without anion corrections, eV/atom: 0.604


Entry from the Alexandria database: a geometry-optimized La4Pm2Tm5 structure (PBE-GGA).

Unit cell a=3.5316 b=8.7179 c=14.6034 alpha=122.72 beta=96.95 gamma=90.00
Element x y z (fractional)
Tm  0.1884  0.9068  0.3769
Tm  0.8683  0.7873  0.7366
Tm  0.5000  0.0000  0.0000
Tm  0.1317  0.2127  0.2634
Tm  0.8116  0.0932  0.6231
La  0.0406  0.7408  0.0812
La  0.5903  0.4823  0.1805
La  0.9594  0.2592  0.9188
La  0.4097  0.5177  0.8195
Pm  0.7259  0.6251  0.4518
Pm  0.2741  0.3749  0.5482

Electronic total energy, eV/cell: -50.17
DFT formation energy, eV/atom: 0.13
Energy relative to the lowest polymorph listed for this composition, meV per atom: 32.1
Size of the total moment, μB/f.u.: 0.00
Symmetry: No. 12


Entry from the Alexandria database: a geometry-optimized PrPa2RhN5 structure (PBE-GGA).

Unit cell a=6.5621 b=6.5621 c=7.4877 alpha=115.99 beta=115.99 gamma=90.00
Element x y z (fractional)
N  0.2728  0.7728  0.2499
N  0.0229  0.5229  0.7501
N  0.0000  0.0000  0.0000
N  0.7728  0.9771  0.2499
N  0.5229  0.7272  0.7501
N  0.7272  0.2272  0.7501
N  0.5000  0.5000  0.0000
N  0.4771  0.2728  0.2499
N  0.2272  0.0229  0.7501
N  0.9771  0.4771  0.2499
Rh  0.7500  0.2500  0.5000
Rh  0.2500  0.7500  0.5000
Pa  0.6756  0.1756  0.0000
Pa  0.1756  0.3244  0.0000
Pa  0.8244  0.6756  0.0000
Pa  0.3244  0.8244  0.0000
Pr  0.2500  0.2500  0.5000
Pr  0.7500  0.7500  0.5000

Electronic total energy, eV/cell: -164.93
Size of the total moment, μB/f.u.: 0.00
Symmetry: No. 140
Formation energy without anion corrections, eV/atom: -1.079


Entry from the Alexandria database: a geometry-optimized TaIn2Br structure (PBE-GGA).

Unit cell a=3.1383 b=3.1383 c=10.0176 alpha=90.00 beta=90.00 gamma=90.00
Element x y z (fractional)
In  0.0000  0.0000  0.0350
In  0.5000  0.5000  0.2915
Br  0.5000  0.5000  0.6708
Ta  0.0000  0.0000  0.5026

Electronic total energy, eV/cell: -18.52
Energy relative to the lowest polymorph listed for this composition, meV per atom: 0.0
Size of the total moment, μB/f.u.: 0.00
Symmetry: No. 99
Formation energy without anion corrections, eV/atom: 0.121